Below is a relaxed structure of ZnFeO2, with properties calculated at the PBE+U level.

## Properties
Total energy: -82.75 eV per cell
Energy relative to the lowest polymorph listed for this composition: 1.64 eV/f.u.

a b c (Å): 5.5835 5.5835 5.3254
angles (deg): 90.00 90.00 90.00
Space group I4/mcm (No. 140)
One atom of each set of equivalent atoms:
1 Zn 0.0000 0.5000 0.2500 [4 per cell]
2 Fe 0.0000 0.0000 0.2500 [4 per cell]
3 O 0.1931 0.3069 0.0000 [8 per cell]